Here is a relaxed Na3NiPCO7 crystal from the Alexandria database. Energies are from GGA+U.

Geometry as extended XYZ:
```
26
Lattice="-1.9639 -0.3063 -4.9536 1.0993 -6.4647 -0.0361 -8.0476 -1.3878 3.4532" Properties=species:S:1:pos:R:3 pbc="T T T"
O -0.9958 -5.2314 -3.1481
O -5.5256 -2.6797 -2.6980
O -3.3468 -3.5505 -3.7009
O -0.6613 -5.1885 -0.9096
O -3.3561 -5.6582 1.1604
O -6.1577 -2.7956 0.2240
O -3.7605 -1.1211 -3.6787
O -5.6901 -6.0347 -1.2508
O -2.7265 -5.5270 -1.7615
O -7.8864 -3.1039 1.6105
O -8.2204 -3.1496 -0.6279
O -3.1939 -2.2897 -0.2867
O -5.1228 -7.2111 2.1498
O -5.5354 -4.7813 2.1548
Na -1.9501 -0.3965 -4.9528
Na -2.1102 -2.1043 -2.2232
Na -7.4811 -4.7098 3.4333
Na -6.7706 -6.2390 0.6856
Na -4.9910 -0.9339 -0.7580
Na -4.4413 -4.1663 -0.7614
P -6.3424 -6.1414 -2.6350
P -2.5404 -2.1898 1.0975
C -7.4167 -3.0156 0.3906
C -1.4659 -5.3167 -1.9281
Ni -3.3383 -5.6246 -3.7431
Ni -5.5445 -2.7070 2.2056
```

Summary:
Energy above the lowest structure with this stoichiometry = 21 meV/atom
Total moment = 1.96 μB/f.u.